No. 1
Below is an optimized crystal structure of NaMnSeN2, with properties calculated at the PBE-GGA level.

Properties
- E_form (uncorrected) (eV per atom) = 0.35
- DOS at the Fermi energy (states/eV per atom) = 0.88
- offset from the most stable computed form (eV per atom) = 0.000

Cell: 3.681 3.681 5.214 Å, 90.00 90.00 90.00°
Space group P4/mmm (No. 123)
Symmetry-distinct sites (fractional):
Na 0.000 0.000 0.000 [1 per cell]
Mn 0.500 0.500 0.500 [1 per cell]
Se 0.500 0.500 0.000 [1 per cell]
N 0.000 0.500 0.500 [2 per cell]

No. 2
Below is an optimized crystal structure of Na2SrMnN, with properties calculated at the PBE-GGA level.

Properties
- E_form (uncorrected) (eV per atom) = 1.11
- DOS at the Fermi energy (states/eV per atom) = 0.82

Cell: 6.415 6.415 4.355 Å, 90.00 90.00 90.00°
Space group P4/mmm (No. 123)
Symmetry-distinct sites (fractional):
Na 0.000 0.500 0.000 [2 per cell]
Sr 0.000 0.000 0.000 [1 per cell]
Mn 0.500 0.500 0.500 [1 per cell]
N 0.000 0.000 0.500 [1 per cell]

No. 3
Below is an optimized crystal structure of NaTaMnN3, with properties calculated at the PBE-GGA level.

Properties
- E_form (uncorrected) (eV per atom) = -0.59
- DOS at the Fermi energy (states/eV per atom) = 0.20

Cell: 6.629 3.168 8.857 Å, 90.00 111.69 90.00°
Space group P2_1/m (No. 11)
Symmetry-distinct sites (fractional):
Na 0.194 0.250 0.162 [2 per cell]
Ta 0.325 0.750 0.866 [2 per cell]
Mn 0.039 0.250 0.608 [2 per cell]
N 0.101 0.250 0.837 [2 per cell]
N 0.182 0.750 0.599 [2 per cell]
N 0.450 0.750 0.113 [2 per cell]

No. 4
Below is an optimized crystal structure of NaMnTcN3, with properties calculated at the PBE-GGA level.

Properties
- E_form (uncorrected) (eV per atom) = -0.10
- DOS at the Fermi energy (states/eV per atom) = 0.53

Cell: 5.424 9.847 5.223 Å, 90.00 99.91 90.00°
Space group C2/c (No. 15)
Symmetry-distinct sites (fractional):
Na 0.000 0.244 0.250 [4 per cell]
Mn 0.000 0.066 0.750 [4 per cell]
Tc 0.000 0.431 0.750 [4 per cell]
N 0.000 0.245 0.750 [4 per cell]
N 0.236 0.030 0.499 [8 per cell]

No. 5
Below is an optimized crystal structure of NaMnTe2N, with properties calculated at the PBE-GGA level.

Properties
- E_form (uncorrected) (eV per atom) = -0.13
- DOS at the Fermi energy (states/eV per atom) = 0.37

Cell: 5.613 5.613 3.468 Å, 90.00 90.00 90.00°
Space group P4/mmm (No. 123)
Symmetry-distinct sites (fractional):
Na 0.000 0.000 0.000 [1 per cell]
Mn 0.500 0.500 0.500 [1 per cell]
Te 0.000 0.500 0.500 [2 per cell]
N 0.500 0.500 0.000 [1 per cell]

No. 6
Below is an optimized crystal structure of NaUMnN3, with properties calculated at the PBE-GGA level.

Properties
- E_form (uncorrected) (eV per atom) = -0.74
- DOS at the Fermi energy (states/eV per atom) = 0.54

Cell: 6.909 3.448 8.328 Å, 90.00 102.64 90.00°
Space group P2_1/m (No. 11)
Symmetry-distinct sites (fractional):
Na 0.167 0.250 0.159 [2 per cell]
U 0.336 0.750 0.842 [2 per cell]
Mn 0.049 0.250 0.605 [2 per cell]
N 0.134 0.250 0.842 [2 per cell]
N 0.158 0.750 0.582 [2 per cell]
N 0.452 0.750 0.117 [2 per cell]

No. 7
Below is an optimized crystal structure of NaUMnN4, with properties calculated at the PBE-GGA level.

Properties
- E_form (uncorrected) (eV per atom) = -0.50
- DOS at the Fermi energy (states/eV per atom) = 0.63

Cell: 5.661 5.337 6.879 Å, 90.00 105.13 90.00°
Space group P2_1/m (No. 11)
Symmetry-distinct sites (fractional):
Na 0.183 0.250 0.422 [2 per cell]
U 0.273 0.250 0.947 [2 per cell]
Mn 0.264 0.750 0.179 [2 per cell]
N 0.054 0.750 0.316 [2 per cell]
N 0.064 0.750 0.944 [2 per cell]
N 0.478 0.505 0.191 [4 per cell]

No. 8
Below is an optimized crystal structure of Na3U3MnN8, with properties calculated at the PBE-GGA level.

Properties
- E_form (uncorrected) (eV per atom) = -0.80
- DOS at the Fermi energy (states/eV per atom) = 0.16

Cell: 6.7706 6.7706 16.9287 Å, 90.00 90.00 120.00°
Space group R-3m (No. 166, hexagonal axes)
Symmetry-distinct sites (fractional):
Na 0.0000 0.5000 0.0000 [9 per cell]
U 0.0000 0.5000 0.5000 [9 per cell]
Mn 0.0000 0.0000 0.5000 [3 per cell]
N 0.0000 0.0000 0.2296 [6 per cell]
N 0.0008 0.5004 0.2242 [18 per cell]

> Among the records above, which one has the lowest E_form (uncorrected)?

Na3U3MnN8

> The highest DOS at the Fermi energy belongs to which entry?

NaMnSeN2

> E_form (uncorrected) of number 5 (NaMnTe2N)?

-0.13 eV per atom

> Which of these has the highest DOS at the Fermi energy?

NaMnSeN2